Entry 1:
VASP calculation (PBE-GGA) on an optimized crystal structure of MgH4Ir4.

Computed properties:
The density of states at the Fermi level comes out at 4.400 states/eV per cell. The relative energy among the computed polymorphs is 0 meV per atom. Its space group is No. 3.

Cell: 4.7857 2.7855 7.0568 Å, 90.00 101.57 90.00°
With the nearest neighbours (Å) after each atom.
Fractional positions:
1 Mg 0.0000 0.0000 0.0000  6 H 2.02-2.05
2 H 0.3063 0.5007 0.1065  1 Ir 1.62
3 H 0.3512 0.0015 0.8831  1 Ir 1.61
4 H 0.6488 0.0015 0.1169  1 Ir 1.61
5 H 0.6937 0.5007 0.8935  1 Ir 1.62
6 Ir 0.2226 0.0014 0.6539  1 H 1.61
7 Ir 0.2825 0.5011 0.3327  1 H 1.62
8 Ir 0.7175 0.5011 0.6673  1 H 1.62
9 Ir 0.7774 0.0014 0.3461  1 H 1.61

=====

Entry 2:
VASP calculation (PBE-GGA) on an optimized crystal structure of Pd3PbS4.

Computed properties:
The density of states at the Fermi level comes out at 8.342 states/eV per cell. For the formation energy (no corrections), the calculation gives -0.341 eV per atom. Its space group is No. 223.

Cell: 6.7688 6.7688 6.7688 Å, 90.00 90.00 90.00°
With the nearest neighbours (Å) after each atom.
Fractional positions:
1 Pd 0.0000 0.2500 0.5000  4 S 2.39
2 Pd 0.0000 0.7500 0.5000  4 S 2.39
3 Pd 0.2500 0.5000 0.0000  4 S 2.39
4 Pd 0.5000 0.0000 0.2500  4 S 2.39
5 Pd 0.5000 0.0000 0.7500  4 S 2.39
6 Pd 0.7500 0.5000 0.0000  4 S 2.39
7 Pb 0.0000 0.0000 0.0000  8 S 2.93
8 Pb 0.5000 0.5000 0.5000  8 S 2.93
9 S 0.2500 0.2500 0.2500  3 Pd 2.39
10 S 0.2500 0.2500 0.7500  3 Pd 2.39
11 S 0.2500 0.7500 0.2500  3 Pd 2.39
12 S 0.2500 0.7500 0.7500  3 Pd 2.39
13 S 0.7500 0.2500 0.2500  3 Pd 2.39
14 S 0.7500 0.2500 0.7500  3 Pd 2.39
15 S 0.7500 0.7500 0.2500  3 Pd 2.39
16 S 0.7500 0.7500 0.7500  3 Pd 2.39

=====

Entry 3:
VASP calculation (PBE-GGA) on an optimized crystal structure of Ac2Zn15Pd2.

Computed properties:
The density of states at the Fermi level comes out at 6.889 states/eV per cell. For the formation energy, the calculation gives -0.319 eV per atom. Its space group is No. 166.

Cell: 6.9884 6.9884 6.9884 Å, 82.60 82.60 82.60°
With the nearest neighbours (Å) after each atom.
Fractional positions:
1 Ac 0.1599 0.1599 0.1599  1 Pd 3.15, 12 Zn 3.36-3.45
2 Ac 0.8401 0.8401 0.8401  1 Pd 3.15, 12 Zn 3.36-3.45
3 Zn 0.0000 0.5000 0.5000  8 Zn 2.64-2.66, 2 Pd 2.78
4 Zn 0.1569 0.1569 0.6544  8 Zn 2.66-2.95, 1 Pd 2.81
5 Zn 0.1569 0.6544 0.1569  8 Zn 2.66-2.95, 1 Pd 2.81
6 Zn 0.2219 0.5000 0.7781  6 Zn 2.57-2.76
7 Zn 0.2219 0.7781 0.5000  6 Zn 2.57-2.76
8 Zn 0.3456 0.8431 0.8431  8 Zn 2.66-2.95, 1 Pd 2.81
9 Zn 0.5000 0.0000 0.5000  8 Zn 2.64-2.66, 2 Pd 2.78
10 Zn 0.5000 0.2219 0.7781  6 Zn 2.57-2.76
11 Zn 0.5000 0.5000 0.0000  8 Zn 2.64-2.66, 2 Pd 2.78
12 Zn 0.5000 0.7781 0.2219  6 Zn 2.57-2.76
13 Zn 0.6544 0.1569 0.1569  8 Zn 2.66-2.95, 1 Pd 2.81
14 Zn 0.7781 0.2219 0.5000  6 Zn 2.57-2.76
15 Zn 0.7781 0.5000 0.2219  6 Zn 2.57-2.76
16 Zn 0.8431 0.3456 0.8431  8 Zn 2.66-2.95, 1 Pd 2.81
17 Zn 0.8431 0.8431 0.3456  8 Zn 2.66-2.95, 1 Pd 2.81
18 Pd 0.3919 0.3919 0.3919  12 Zn 2.78-2.95, 1 Pd 2.93
19 Pd 0.6081 0.6081 0.6081  12 Zn 2.78-2.95, 1 Pd 2.93

=====

Entry 4:
VASP calculation (PBE-GGA) on an optimized crystal structure of Rb2Pu2O5.

Computed properties:
The density of states at the Fermi level comes out at 10.725 states/eV per cell. For the formation energy (no corrections), the calculation gives -2.457 eV per atom. Its space group is No. 123.

Cell: 4.3213 4.3213 9.0975 Å, 90.00 90.00 90.00°
With the nearest neighbours (Å) after each atom.
Fractional positions:
1 Rb 0.0000 0.0000 0.0000  12 O 3.06-3.24
2 Rb 0.0000 0.0000 0.5000  8 O 3.03
3 Pu 0.5000 0.5000 0.2364  5 O 2.15-2.18
4 Pu 0.5000 0.5000 0.7636  5 O 2.15-2.18
5 O 0.0000 0.5000 0.2661  2 Pu 2.18
6 O 0.0000 0.5000 0.7339  2 Pu 2.18
7 O 0.5000 0.0000 0.2661  2 Pu 2.18
8 O 0.5000 0.0000 0.7339  2 Pu 2.18
9 O 0.5000 0.5000 0.0000  2 Pu 2.15

=====

Quick rundown of total magnetization, same order as above: 0.0, 0.0, 0.0, 8.0 Bohr magnetons per cell